Entry from Alexandria via LeMat-Bulk: crystalline LiTiB3 at its relaxed geometry (PBE).

```
LiTiB3
1.0
3.5546 0.0000 0.0000
0.0000 3.5546 0.0000
0.0000 0.0000 3.5546
Li B Ti
1 3 1
direct
0.0000 0.0000 0.0000 Li
0.0000 0.0000 0.5000 B
0.5000 0.0000 0.0000 B
0.0000 0.5000 0.0000 B
0.5000 0.5000 0.5000 Ti
```

Summary:
The space group is Pm-3m (221). The value obtained for the formation enthalpy at 0 K is 109.7 kJ/mol of atoms. The value obtained for the energy relative to the lowest polymorph listed for this composition is 0.000 eV/atom. The size of the total moment is 0.0 Bohr magnetons per cell. Its electronic total energy is -4.83 eV/atom.

---

Entry from Alexandria via LeMat-Bulk: crystalline Li2TiB4 at its relaxed geometry (PBE).

```
Li2TiB4
1.0
4.1123 0.0000 0.0000
0.0000 4.1123 0.0000
2.0562 2.0562 5.9324
B Li Ti
4 2 1
direct
0.5000 0.0000 0.0000 B
0.1789 0.1789 0.6421 B
0.8211 0.8211 0.3579 B
0.0000 0.5000 0.0000 B
0.3818 0.3818 0.2365 Li
0.6182 0.6182 0.7635 Li
0.0000 0.0000 0.0000 Ti
```

Summary:
The space group is I4/mmm (139). The value obtained for the formation enthalpy at 0 K is 128.9 kJ/mol of atoms. The size of the total moment is 0.0 Bohr magnetons per cell. Its electronic total energy is -4.15 eV/atom.

---

Entry from Alexandria via LeMat-Bulk: crystalline LiTiB2 at its relaxed geometry (PBE).

```
LiTiB2
1.0
0.0000 2.6711 2.6711
2.6711 0.0000 2.6711
2.6711 2.6711 0.0000
Li Ti B
1 1 2
direct
0.0000 0.0000 0.0000 Li
0.5000 0.5000 0.5000 Ti
0.7500 0.7500 0.7500 B
0.2500 0.2500 0.2500 B
```

Summary:
The space group is Fm-3m (225). The value obtained for the formation enthalpy at 0 K is 22.4 kJ/mol of atoms. The value obtained for the energy relative to the lowest polymorph listed for this composition is 0.000 eV/atom. The size of the total moment is 0.0 Bohr magnetons per cell. Its electronic total energy is -5.56 eV/atom.

---

Entry from Alexandria via LeMat-Bulk: crystalline LiTi2B2 at its relaxed geometry (PBE).

```
LiTi2B2
1.0
-4.0654 -4.0150 -1.5505
4.2552 -3.4292 -2.2774
0.3441 -1.4255 2.7893
Ti B Li
4 4 2
direct
0.1834 0.6834 0.5000 Ti
0.6834 0.8166 0.5000 Ti
0.8166 0.3166 0.5000 Ti
0.3166 0.1834 0.5000 Ti
0.1017 0.3983 0.0000 B
0.6017 0.1017 0.0000 B
0.8983 0.6017 0.0000 B
0.3983 0.8983 0.0000 B
0.0000 0.0000 0.0000 Li
0.5000 0.5000 0.0000 Li
```

Summary:
The space group is P4/mbm (127). The value obtained for the formation enthalpy at 0 K is -41.1 kJ/mol of atoms. The size of the total moment is 0.0 Bohr magnetons per cell. Its electronic total energy is -6.64 eV/atom.

---

Entry from Alexandria via LeMat-Bulk: crystalline Li2TlB at its relaxed geometry (PBE).

```
Li2TlB
1.0
3.8208 0.0000 0.0000
0.0000 3.8208 0.0000
1.9104 1.9104 8.9286
Li B Tl
4 2 2
direct
0.3750 0.4323 0.7500 Li
0.8750 0.8177 0.7500 Li
0.1823 0.6250 0.2500 Li
0.5677 0.1250 0.2500 Li
0.5000 0.5000 0.0000 B
0.2500 0.7500 0.5000 B
0.0000 0.0000 0.0000 Tl
0.7500 0.2500 0.5000 Tl
```

Summary:
The space group is I-42d (122). The value obtained for the formation enthalpy at 0 K is 60.6 kJ/mol of atoms. The value obtained for the energy relative to the lowest polymorph listed for this composition is 0.132 eV/atom. The size of the total moment is 0.0 Bohr magnetons per cell. Its electronic total energy is -2.59 eV/atom.

---

Entry from Alexandria via LeMat-Bulk: crystalline LiTlB3 at its relaxed geometry (PBE).

```
LiTlB3
1.0
-3.6164 -0.0928 2.9094
2.6529 -2.0150 3.2333
1.1982 4.1813 1.6227
B Li Tl
3 1 1
direct
0.5000 0.0000 0.0000 B
0.0000 0.5000 0.0000 B
0.0000 0.0000 0.5000 B
0.5000 0.5000 0.5000 Li
0.0000 0.0000 0.0000 Tl
```

Summary:
The space group is Pm-3m (221). The value obtained for the formation enthalpy at 0 K is 223.3 kJ/mol of atoms. The value obtained for the energy relative to the lowest polymorph listed for this composition is 0.341 eV/atom. The size of the total moment is 0.0 Bohr magnetons per cell. Its electronic total energy is -2.55 eV/atom.

---

Entry from Alexandria via LeMat-Bulk: crystalline Li3TlB at its relaxed geometry (PBE).

```
Li3TlB
1.0
-3.1549 0.5602 -3.8943
3.2487 -2.4448 -2.9836
-2.2193 -4.3752 1.1685
Li B Tl
3 1 1
direct
0.0000 0.0000 0.5000 Li
0.0000 0.5000 0.0000 Li
0.5000 0.0000 0.0000 Li
0.5000 0.5000 0.5000 B
0.0000 0.0000 0.0000 Tl
```

Summary:
The space group is Pm-3m (221). The value obtained for the formation enthalpy at 0 K is 106.3 kJ/mol of atoms. The value obtained for the energy relative to the lowest polymorph listed for this composition is 0.773 eV/atom. The size of the total moment is 0.0 Bohr magnetons per cell. Its electronic total energy is -1.85 eV/atom.

---

Entry from Alexandria via LeMat-Bulk: crystalline LiTl2B at its relaxed geometry (PBE).

```
LiTl2B
1.0
0.0000 3.3972 3.3972
3.3972 0.0000 3.3972
3.3972 3.3972 0.0000
Tl B Li
2 1 1
direct
0.7500 0.7500 0.7500 Tl
0.2500 0.2500 0.2500 Tl
0.5000 0.5000 0.5000 B
0.0000 0.0000 0.0000 Li
```

Summary:
The space group is Fm-3m (225). The value obtained for the formation enthalpy at 0 K is 70.7 kJ/mol of atoms. The value obtained for the energy relative to the lowest polymorph listed for this composition is 0.189 eV/atom. The size of the total moment is 0.0 Bohr magnetons per cell. Its electronic total energy is -2.60 eV/atom.

---

Entry from Alexandria via LeMat-Bulk: crystalline Li3TlB at its relaxed geometry (PBE).

```
Li3TlB
1.0
4.3926 0.0000 0.0000
0.0000 4.3926 0.0000
0.0000 0.0000 4.3926
Tl Li B
1 3 1
direct
0.5000 0.5000 0.5000 Tl
0.5000 0.0000 0.0000 Li
0.0000 0.0000 0.5000 Li
0.0000 0.5000 0.0000 Li
0.0000 0.0000 0.0000 B
```

Summary:
The space group is Pm-3m (221). The value obtained for the formation enthalpy at 0 K is 31.8 kJ/mol of atoms. The value obtained for the energy relative to the lowest polymorph listed for this composition is 0.000 eV/atom. The size of the total moment is 0.8 Bohr magnetons per cell. Its electronic total energy is -2.63 eV/atom.

---

Entry from Alexandria via LeMat-Bulk: crystalline LiTl2B at its relaxed geometry (PBE).

```
LiTl2B
1.0
8.5714 0.0000 0.0000
0.0000 8.5714 0.0000
4.2857 4.2857 2.3778
Tl B Li
4 2 2
direct
0.8750 0.0057 0.7500 Tl
0.3750 0.2443 0.7500 Tl
0.9943 0.6250 0.2500 Tl
0.7557 0.1250 0.2500 Tl
0.7500 0.2500 0.5000 B
0.0000 0.0000 0.0000 B
0.2500 0.7500 0.5000 Li
0.5000 0.5000 0.0000 Li
```

Summary:
The space group is I-42d (122). The value obtained for the formation enthalpy at 0 K is 52.4 kJ/mol of atoms. The value obtained for the energy relative to the lowest polymorph listed for this composition is 0.000 eV/atom. The size of the total moment is 0.0 Bohr magnetons per cell. Its electronic total energy is -2.79 eV/atom.

---

Entry from Alexandria via LeMat-Bulk: crystalline Li2TlB at its relaxed geometry (PBE).

```
Li2TlB
1.0
0.4189 -3.7237 2.2198
0.7996 0.0945 4.2802
-3.0894 -1.2137 2.8197
Li B Tl
2 1 1
direct
0.2500 0.2500 0.2500 Li
0.7500 0.7500 0.7500 Li
0.0000 0.0000 0.0000 B
0.5000 0.5000 0.5000 Tl
```

Summary:
The space group is Fm-3m (225). The value obtained for the formation enthalpy at 0 K is 47.9 kJ/mol of atoms. The value obtained for the energy relative to the lowest polymorph listed for this composition is 0.000 eV/atom. The size of the total moment is 0.0 Bohr magnetons per cell. Its electronic total energy is -2.72 eV/atom.

---

Entry from Alexandria via LeMat-Bulk: crystalline Li4TlB2 at its relaxed geometry (PBE).

```
Li4TlB2
1.0
4.9275 0.0000 0.0000
0.0000 4.9275 0.0000
2.4637 2.4637 5.8740
Li Tl B
4 1 2
direct
0.2443 0.2443 0.5115 Li
0.7557 0.7557 0.4885 Li
0.0000 0.5000 0.0000 Li
0.5000 0.0000 0.0000 Li
0.0000 0.0000 0.0000 Tl
0.5661 0.5661 0.8679 B
0.4339 0.4339 0.1321 B
```

Summary:
The space group is I4/mmm (139). The value obtained for the formation enthalpy at 0 K is 51.2 kJ/mol of atoms. The size of the total moment is 0.0 Bohr magnetons per cell. Its electronic total energy is -2.81 eV/atom.

---

Repeat the fourth record exactly.
Entry from Alexandria via LeMat-Bulk: crystalline LiTi2B2 at its relaxed geometry (PBE).

```
LiTi2B2
1.0
-4.0654 -4.0150 -1.5505
4.2552 -3.4292 -2.2774
0.3441 -1.4255 2.7893
Ti B Li
4 4 2
direct
0.1834 0.6834 0.5000 Ti
0.6834 0.8166 0.5000 Ti
0.8166 0.3166 0.5000 Ti
0.3166 0.1834 0.5000 Ti
0.1017 0.3983 0.0000 B
0.6017 0.1017 0.0000 B
0.8983 0.6017 0.0000 B
0.3983 0.8983 0.0000 B
0.0000 0.0000 0.0000 Li
0.5000 0.5000 0.0000 Li
```

Summary:
The space group is P4/mbm (127). The value obtained for the formation enthalpy at 0 K is -41.1 kJ/mol of atoms. The size of the total moment is 0.0 Bohr magnetons per cell. Its electronic total energy is -6.64 eV/atom.

---

The lowest electronic total energy belongs to which entry?
LiTi2B2